Computed, not measured: a geometry-optimized Co2NiTeO6 structure at the GGA+U level of DFT.

POSCAR file:
```
Co2NiTeO6
1.0
5.2037 -0.0004 0.0091
2.6019 4.5060 0.0045
2.5942 1.5021 4.3899
Co Ni Te O
2 1 1 6
Cartesian
5.2002 3.0038 1.9874
2.5944 1.5020 4.1953
7.8016 4.5060 2.5089
2.6012 1.5019 0.3993
4.6751 1.4146 1.0407
4.0887 4.2544 1.0399
6.8417 3.3421 1.0448
5.8193 4.3741 3.2887
6.0738 1.7806 3.2893
3.7006 2.8571 3.2853
```

Values from the calculation:
Its total energy is -54.37 eV/f.u. As for the crystal system: trigonal. For the magnetic moment, the calculation gives 2.0 Bohr magnetons per cell.